## 1
Be2Ni2Se: optimized geometry, PBE-GGA.

As for the symmetry: I4/mmm (139).

a = 3.443 Å, b = 3.443 Å, c = 10.137 Å
α = 90.00°, β = 90.00°, γ = 90.00°
Fractional positions:
Be (0.000, 0.000, 0.113)
Be (0.000, 0.000, 0.887)
Be (0.500, 0.500, 0.387)
Be (0.500, 0.500, 0.613)
Ni (0.000, 0.500, 0.250)
Ni (0.000, 0.500, 0.750)
Ni (0.500, 0.000, 0.250)
Ni (0.500, 0.000, 0.750)
Se (0.000, 0.000, 0.500)
Se (0.500, 0.500, 0.000)

=====

## 2
Be2Ni2Se: optimized geometry, PBE-GGA.

As for the symmetry: P4/mbm (127).

a = 5.908 Å, b = 5.908 Å, c = 3.219 Å
α = 90.00°, β = 90.00°, γ = 90.00°
Fractional positions:
Be (0.126, 0.374, 0.000)
Be (0.374, 0.874, 0.000)
Be (0.626, 0.126, 0.000)
Be (0.874, 0.626, 0.000)
Ni (0.151, 0.651, 0.500)
Ni (0.349, 0.151, 0.500)
Ni (0.651, 0.849, 0.500)
Ni (0.849, 0.349, 0.500)
Se (0.000, 0.000, 0.000)
Se (0.500, 0.500, 0.000)

=====

The computed energies, referenced to the most stable structure and given in meV per atom, are 1 170; 2 0.

=====

## 1
Be2SiNi3: optimized geometry, PBE-GGA.

As for the symmetry: Cmmm (65).

a = 6.100 Å, b = 6.100 Å, c = 5.235 Å
α = 90.00°, β = 90.00°, γ = 143.17°
Fractional positions:
Be (0.000, 0.000, 0.000)
Be (0.000, 0.000, 0.500)
Be (0.332, 0.668, 0.000)
Be (0.668, 0.332, 0.000)
Si (0.338, 0.662, 0.500)
Si (0.662, 0.338, 0.500)
Ni (0.165, 0.835, 0.247)
Ni (0.165, 0.835, 0.753)
Ni (0.500, 0.500, 0.243)
Ni (0.500, 0.500, 0.757)
Ni (0.835, 0.165, 0.247)
Ni (0.835, 0.165, 0.753)

=====

## 2
Be2SiNi3: optimized geometry, PBE-GGA.

As for the symmetry: P-3m1 (164).

a = 3.806 Å, b = 3.806 Å, c = 4.656 Å
α = 90.00°, β = 90.00°, γ = 120.00°
Fractional positions:
Be (0.333, 0.667, 0.159)
Be (0.667, 0.333, 0.841)
Si (0.000, 0.000, 0.500)
Ni (0.000, 0.000, 0.000)
Ni (0.333, 0.667, 0.671)
Ni (0.667, 0.333, 0.329)

=====

The computed energies, referenced to the most stable structure and given in meV per atom, are 1 32; 2 0.

=====

## 1
Be2SiNi8: optimized geometry, PBE-GGA.

As for the symmetry: C2/m (12).

a = 6.245 Å, b = 6.245 Å, c = 5.490 Å
α = 108.11°, β = 108.11°, γ = 33.73°
Fractional positions:
Be (0.221, 0.221, 0.147)
Be (0.779, 0.779, 0.853)
Si (0.500, 0.500, 0.500)
Ni (0.044, 0.044, 0.232)
Ni (0.152, 0.152, 0.715)
Ni (0.320, 0.320, 0.568)
Ni (0.397, 0.397, 0.033)
Ni (0.603, 0.603, 0.967)
Ni (0.680, 0.680, 0.432)
Ni (0.848, 0.848, 0.285)
Ni (0.956, 0.956, 0.768)

=====

## 2
Be2SiNi8: optimized geometry, PBE-GGA.

As for the symmetry: Immm (71).

a = 6.316 Å, b = 6.316 Å, c = 6.316 Å
α = 146.63°, β = 123.03°, γ = 67.65°
Fractional positions:
Be (0.196, 0.196, 0.000)
Be (0.804, 0.804, 0.000)
Si (0.500, 0.500, 0.000)
Ni (0.057, 0.340, 0.717)
Ni (0.191, 0.000, 0.191)
Ni (0.353, 0.853, 0.500)
Ni (0.376, 0.660, 0.717)
Ni (0.624, 0.340, 0.283)
Ni (0.647, 0.147, 0.500)
Ni (0.809, 0.000, 0.809)
Ni (0.943, 0.660, 0.283)

=====

The computed energies, referenced to the most stable structure and given in meV per atom, are 1 0; 2 40.

=====

## 1
BeSiNi: optimized geometry, PBE-GGA.

As for the symmetry: F-43m (216).

a = 5.244 Å, b = 5.244 Å, c = 5.244 Å
α = 90.00°, β = 90.00°, γ = 90.00°
Fractional positions:
Be (0.000, 0.000, 0.000)
Be (0.000, 0.500, 0.500)
Be (0.500, 0.000, 0.500)
Be (0.500, 0.500, 0.000)
Si (0.000, 0.000, 0.500)
Si (0.000, 0.500, 0.000)
Si (0.500, 0.000, 0.000)
Si (0.500, 0.500, 0.500)
Ni (0.250, 0.250, 0.750)
Ni (0.250, 0.750, 0.250)
Ni (0.750, 0.250, 0.250)
Ni (0.750, 0.750, 0.750)

=====

## 2
BeSiNi: optimized geometry, PBE-GGA.

As for the symmetry: P3m1 (156).

a = 3.816 Å, b = 3.816 Å, c = 2.577 Å
α = 90.00°, β = 90.00°, γ = 120.00°
Fractional positions:
Be (0.000, 0.000, 0.000)
Si (0.333, 0.667, 0.641)
Ni (0.667, 0.333, 0.420)

=====

## 3
BeSiNi: optimized geometry, PBE-GGA.

As for the symmetry: F-43m (216).

a = 5.151 Å, b = 5.151 Å, c = 5.151 Å
α = 90.00°, β = 90.00°, γ = 90.00°
Fractional positions:
Be (0.000, 0.000, 0.000)
Be (0.000, 0.500, 0.500)
Be (0.500, 0.000, 0.500)
Be (0.500, 0.500, 0.000)
Si (0.250, 0.250, 0.750)
Si (0.250, 0.750, 0.250)
Si (0.750, 0.250, 0.250)
Si (0.750, 0.750, 0.750)
Ni (0.250, 0.250, 0.250)
Ni (0.250, 0.750, 0.750)
Ni (0.750, 0.250, 0.750)
Ni (0.750, 0.750, 0.250)

=====

The computed energies, referenced to the most stable structure and given in meV per atom, are 1 0; 2 159; 3 117.